(1)
Density functional theory data (GGA-PBE) for an optimized crystal structure of SrCaTbSbO6.

Computed properties:
- DOS(E_F): 0.000 states/eV per atom
- Volume: 147.0 Å³/cell
- SG: No. 216
- Spin magnetization: 0.000 μB/cell
- Formation energy without anion corrections: -59.2 kcal/mol of atoms

a b c (Å): 5.9240 5.9240 5.9240
angles (deg): 60.00 60.00 60.00
With the nearest neighbours (Å) after each atom.
Element x y z (fractional)
O: 0.2370 0.7630 0.7630  1 Sb 1.99, 1 Tb 2.20
Sb: 0.0000 0.0000 0.0000  6 O 1.99
Tb: 0.5000 0.5000 0.5000  6 O 2.20
O: 0.2370 0.7630 0.2370  1 Sb 1.99, 1 Tb 2.20
O: 0.7630 0.7630 0.2370  1 Sb 1.99, 1 Tb 2.20
O: 0.7630 0.2370 0.2370  1 Sb 1.99, 1 Tb 2.20
Ca: 0.2500 0.2500 0.2500  12 O 2.96
O: 0.7630 0.2370 0.7630  1 Sb 1.99, 1 Tb 2.20
Sr: 0.7500 0.7500 0.7500  12 O 2.96
O: 0.2370 0.2370 0.7630  1 Sb 1.99, 1 Tb 2.20

---

(2)
Density functional theory data (GGA-PBE) for an optimized crystal structure of ReOsF3.

Computed properties:
- DOS(E_F): 2.430 states/eV per atom
- Volume: 72.6 Å³/cell
- SG: No. 221
- Polymorph energy (0 for the lowest one): 155 meV per atom
- Spin magnetization: 2.160 μB/cell
- Formation energy without anion corrections: 18.2 kcal/mol of atoms

a b c (Å): 4.1721 4.1721 4.1721
angles (deg): 90.00 90.00 90.00
With the nearest neighbours (Å) after each atom.
Element x y z (fractional)
F: 0.0000 0.0000 0.5000  2 Re 2.09
F: 0.0000 0.5000 0.0000  2 Re 2.09
F: 0.5000 0.0000 0.0000  2 Re 2.09
Re: 0.0000 0.0000 0.0000  6 F 2.09
Os: 0.5000 0.5000 0.5000  12 F 2.95

---

(3)
Density functional theory data (GGA-PBE) for an optimized crystal structure of TaSbSeN2.

Computed properties:
- DOS(E_F): 0.513 states/eV per atom
- Volume: 88.4 Å³/cell
- SG: No. 123
- Polymorph energy (0 for the lowest one): 0 meV per atom
- Spin magnetization: 0.000 μB/cell
- Formation energy without anion corrections: 5.4 kcal/mol of atoms

a b c (Å): 4.0868 4.0868 5.2913
angles (deg): 90.00 90.00 90.00
With the nearest neighbours (Å) after each atom.
Element x y z (fractional)
N: 0.5000 0.0000 0.0000  2 Ta 2.04
Sb: 0.5000 0.5000 0.5000  4 Se 2.89
Se: 0.0000 0.0000 0.5000  2 Ta 2.65, 4 Sb 2.89
N: 0.0000 0.5000 0.0000  2 Ta 2.04
Ta: 0.0000 0.0000 0.0000  4 N 2.04

---

What did the first record say?
Density functional theory data (GGA-PBE) for an optimized crystal structure of SrCaTbSbO6.

Computed properties:
- DOS(E_F): 0.000 states/eV per atom
- Volume: 147.0 Å³/cell
- SG: No. 216
- Spin magnetization: 0.000 μB/cell
- Formation energy without anion corrections: -59.2 kcal/mol of atoms

a b c (Å): 5.9240 5.9240 5.9240
angles (deg): 60.00 60.00 60.00
With the nearest neighbours (Å) after each atom.
Element x y z (fractional)
O: 0.2370 0.7630 0.7630  1 Sb 1.99, 1 Tb 2.20
Sb: 0.0000 0.0000 0.0000  6 O 1.99
Tb: 0.5000 0.5000 0.5000  6 O 2.20
O: 0.2370 0.7630 0.2370  1 Sb 1.99, 1 Tb 2.20
O: 0.7630 0.7630 0.2370  1 Sb 1.99, 1 Tb 2.20
O: 0.7630 0.2370 0.2370  1 Sb 1.99, 1 Tb 2.20
Ca: 0.2500 0.2500 0.2500  12 O 2.96
O: 0.7630 0.2370 0.7630  1 Sb 1.99, 1 Tb 2.20
Sr: 0.7500 0.7500 0.7500  12 O 2.96
O: 0.2370 0.2370 0.7630  1 Sb 1.99, 1 Tb 2.20

---

- Number 2 is which compound?
  ReOsF3